This record from Alexandria via LeMat-Bulk describes ZrAl2 at its PBEsol-relaxed geometry. The functional is SCAN.

Structure (CIF):
```
data_ZrAl2
_space_group_name_H-M_alt 'P n m a'
_space_group_IT_number 62
_space_group_name_Hall '-P 2ac 2n'
_cell_length_a 5.812
_cell_length_b 3.997
_cell_length_c 9.266
_cell_angle_alpha 90.00
_cell_angle_beta 90.00
_cell_angle_gamma 90.00
loop_
_atom_site_label
_atom_site_type_symbol
_atom_site_fract_x
_atom_site_fract_y
_atom_site_fract_z
_atom_site_occupancy
Zr1 Zr 0.117 0.250 0.106 1
Al1 Al 0.119 0.250 0.429 1
Al2 Al 0.153 0.250 0.766 1
```

Results
For the formation energy, the calculation gives -0.50 eV per atom. The value obtained for the size of the total moment is 0.000 μB per atom.

=====

This record from Alexandria via LeMat-Bulk describes Zr2Al at its PBEsol-relaxed geometry. The functional is SCAN.

Structure (CIF):
```
data_Zr2Al
_space_group_name_H-M_alt 'P 6/m m m'
_space_group_IT_number 191
_space_group_name_Hall '-P 6 2'
_cell_length_a 4.7932
_cell_length_b 4.7932
_cell_length_c 2.9281
_cell_angle_alpha 90.00
_cell_angle_beta 90.00
_cell_angle_gamma 120.00
loop_
_atom_site_label
_atom_site_type_symbol
_atom_site_fract_x
_atom_site_fract_y
_atom_site_fract_z
_atom_site_occupancy
Zr1 Zr 0.3333 0.6667 0.0000 1
Al1 Al 0.0000 0.0000 0.5000 1
```

Results
For the formation energy, the calculation gives -0.08 eV per atom. The value obtained for the size of the total moment is 0.000 μB per atom.

=====

This record from Alexandria via LeMat-Bulk describes Zr2Al at its PBEsol-relaxed geometry. The functional is SCAN.

Structure (CIF):
```
data_Zr2Al
_space_group_name_H-M_alt 'I 4/m c m'
_space_group_IT_number 140
_space_group_name_Hall '-I 4 2c'
_cell_length_a 6.776
_cell_length_b 6.776
_cell_length_c 5.306
_cell_angle_alpha 90.00
_cell_angle_beta 90.00
_cell_angle_gamma 90.00
loop_
_atom_site_label
_atom_site_type_symbol
_atom_site_fract_x
_atom_site_fract_y
_atom_site_fract_z
_atom_site_occupancy
Zr1 Zr 0.151 0.349 0.000 1
Al1 Al 0.000 0.000 0.250 1
```

Results
For the formation energy, the calculation gives -0.35 eV per atom. The value obtained for the size of the total moment is 0.000 μB per atom.

=====

This record from Alexandria via LeMat-Bulk describes As at its PBEsol-relaxed geometry. The functional is SCAN.

Structure (CIF):
```
data_As
_space_group_name_H-M_alt 'C m c e'
_space_group_IT_number 64
_space_group_name_Hall '-C 2ac 2'
_cell_length_a 3.744
_cell_length_b 10.867
_cell_length_c 4.270
_cell_angle_alpha 90.00
_cell_angle_beta 90.00
_cell_angle_gamma 90.00
loop_
_atom_site_label
_atom_site_type_symbol
_atom_site_fract_x
_atom_site_fract_y
_atom_site_fract_z
_atom_site_occupancy
As1 As 0.000 0.112 0.054 1
```

Results
For the formation energy, the calculation gives 0.02 eV per atom. The value obtained for the size of the total moment is 0.000 μB per atom. As for the energy above the most stable polymorph in this dataset: 19.5 meV per atom.

=====

This record from Alexandria via LeMat-Bulk describes As at its PBEsol-relaxed geometry. The functional is SCAN.

Structure (CIF):
```
data_As
_space_group_name_H-M_alt 'R -3 m'
_space_group_IT_number 166
_space_group_name_Hall '-R 3 2"'
_cell_length_a 3.7899
_cell_length_b 3.7899
_cell_length_c 10.0708
_cell_angle_alpha 90.00
_cell_angle_beta 90.00
_cell_angle_gamma 120.00
loop_
_atom_site_label
_atom_site_type_symbol
_atom_site_fract_x
_atom_site_fract_y
_atom_site_fract_z
_atom_site_occupancy
As1 As 0.0000 0.0000 0.2305 1
```

Results
For the formation energy, the calculation gives 0.00 eV per atom. The value obtained for the size of the total moment is 0.000 μB per atom. As for the energy above the most stable polymorph in this dataset: 0.0 meV per atom.

=====

This record from Alexandria via LeMat-Bulk describes As3Au at its PBEsol-relaxed geometry. The functional is SCAN.

Structure (CIF):
```
data_As3Au
_space_group_name_H-M_alt 'C m m m'
_space_group_IT_number 65
_space_group_name_Hall '-C 2 2'
_cell_length_a 2.910
_cell_length_b 5.030
_cell_length_c 9.946
_cell_angle_alpha 90.00
_cell_angle_beta 90.00
_cell_angle_gamma 90.00
loop_
_atom_site_label
_atom_site_type_symbol
_atom_site_fract_x
_atom_site_fract_y
_atom_site_fract_z
_atom_site_occupancy
As1 As 0.000 0.000 0.000 1
As2 As 0.000 0.500 0.259 1
Au1 Au 0.000 0.000 0.500 1
```

Results
For the formation energy, the calculation gives 0.36 eV per atom. The value obtained for the size of the total moment is 0.000 μB per atom. As for the energy above the most stable polymorph in this dataset: 0.0 meV per atom.

=====

This record from Alexandria via LeMat-Bulk describes As5Au4 at its PBEsol-relaxed geometry. The functional is SCAN.

Structure (CIF):
```
data_As5Au4
_space_group_name_H-M_alt 'I 4/m m m'
_space_group_IT_number 139
_space_group_name_Hall '-I 4 2'
_cell_length_a 9.533
_cell_length_b 9.533
_cell_length_c 3.560
_cell_angle_alpha 90.00
_cell_angle_beta 90.00
_cell_angle_gamma 90.00
loop_
_atom_site_label
_atom_site_type_symbol
_atom_site_fract_x
_atom_site_fract_y
_atom_site_fract_z
_atom_site_occupancy
As1 As 0.000 0.000 0.000 1
As2 As 0.174 0.174 0.500 1
Au1 Au 0.000 0.333 0.000 1
```

Results
For the formation energy, the calculation gives 0.33 eV per atom. The value obtained for the size of the total moment is 0.000 μB per atom.

=====

This record from Alexandria via LeMat-Bulk describes AsAu at its PBEsol-relaxed geometry. The functional is SCAN.

Structure (CIF):
```
data_AsAu
_space_group_name_H-M_alt 'R -3 m'
_space_group_IT_number 166
_space_group_name_Hall '-R 3 2"'
_cell_length_a 4.6720
_cell_length_b 4.6720
_cell_length_c 12.3859
_cell_angle_alpha 90.00
_cell_angle_beta 90.00
_cell_angle_gamma 120.00
loop_
_atom_site_label
_atom_site_type_symbol
_atom_site_fract_x
_atom_site_fract_y
_atom_site_fract_z
_atom_site_occupancy
As1 As 0.0000 0.0000 0.1860 1
Au1 Au 0.0000 0.0000 0.3882 1
```

Results
For the formation energy, the calculation gives 0.23 eV per atom. The value obtained for the size of the total moment is 0.000 μB per atom.